# 1
# Mn5O3F5 (PBE with a Hubbard U, optimized geometry)
# total DFT energy (no corrections): -179.129 eV per cell
# calculated volume: 13.83 Å³ per atom
# energy above the lowest structure with this stoichiometry: 3 meV/atom
data_Mn5O3F5
_cell_length_a 11.0136
_cell_length_b 6.2805
_cell_length_c 6.1431
_cell_angle_alpha 90.00
_cell_angle_beta 122.17
_cell_angle_gamma 90.00
_space_group_name_H-M_alt 'C 1 m 1'
_space_group_IT_number 8
loop_
_space_group_symop_operation_xyz
'x,y,z'
'x,-y,z'
'x+1/2,y+1/2,z'
'x+1/2,-y+1/2,z'
loop_
_atom_site_label
_atom_site_fract_x
_atom_site_fract_y
_atom_site_fract_z
Mn1 0.0000 0.0000 0.0000
Mn2 0.1074 0.2388 0.6007
Mn3 0.2217 0.5000 0.2509
Mn4 0.3552 0.0000 0.1149
O1 0.0867 0.5000 0.3803
O2 0.0990 0.0000 0.3786
O3 0.1257 0.0000 0.8507
F1 0.1166 0.5000 0.8504
F2 0.3484 0.2566 0.8676
F3 0.3628 0.2507 0.3671

***

# 2
# LiBi2WO8 (PBE with a Hubbard U, optimized geometry)
# total DFT energy (no corrections): -145.938 eV per cell
# calculated volume: 13.50 Å³ per atom
data_LiBi2WO8
_cell_length_a 6.9183
_cell_length_b 6.9427
_cell_length_c 6.7464
_cell_angle_alpha 90.00
_cell_angle_beta 90.00
_cell_angle_gamma 90.00
_space_group_name_H-M_alt 'C m m m'
_space_group_IT_number 65
_space_group_name_Hall '-C 2 2'
loop_
_atom_site_label
_atom_site_fract_x
_atom_site_fract_y
_atom_site_fract_z
Li1 0.0000 0.0000 0.0000
Bi1 0.0000 0.5000 0.2423
W1 0.0000 0.0000 0.5000
O1 0.0000 0.1849 0.2864
O2 0.2019 0.5000 0.0000
O3 0.2093 0.5000 0.5000